[1]
Density functional theory data (meta-GGA SCAN) for Mg3Zn at its PBEsol-relaxed geometry.

Unit cell a=5.6195 b=5.6195 c=5.6195 alpha=116.88 beta=116.88 gamma=116.88
Positions (direct):
Mg  0.0000  0.5000  0.5000
Mg  0.5000  0.0000  0.5000
Mg  0.5000  0.5000  0.0000
Zn  0.0000  0.0000  0.0000

Its density of states at the Fermi level is 0.286 states/eV per atom. For the volume, the calculation gives 80 Å³/f.u. The value obtained for the energy of formation is 0.0216 eV/atom. The density is 2.881 g/cm3.



[2]
Density functional theory data (meta-GGA SCAN) for Mg3Zn at its PBEsol-relaxed geometry.

Unit cell a=3.0963 b=4.8740 c=5.2532 alpha=90.00 beta=90.00 gamma=90.00
Positions (direct):
Mg  0.0000  0.0000  0.0000
Mg  0.0000  0.5000  0.3445
Mg  0.5000  0.5000  0.8293
Zn  0.5000  0.0000  0.5035

Its density of states at the Fermi level is 0.318 states/eV per atom. For the volume, the calculation gives 79 Å³/f.u. The value obtained for the energy of formation is -0.0223 eV/atom. The density is 2.897 g/cm3.



[3]
Density functional theory data (meta-GGA SCAN) for Mg3Zn at its PBEsol-relaxed geometry.

Unit cell a=4.8430 b=6.0805 c=5.3111 alpha=90.00 beta=90.00 gamma=90.00
Positions (direct):
Mg  0.2500  0.9998  0.1674
Mg  0.2500  0.2500  0.6446
Mg  0.2500  0.5002  0.1674
Mg  0.7500  0.0002  0.8326
Mg  0.7500  0.4998  0.8326
Mg  0.7500  0.7500  0.3554
Zn  0.2500  0.7500  0.6777
Zn  0.7500  0.2500  0.3223

Its density of states at the Fermi level is 0.340 states/eV per atom. For the volume, the calculation gives 78 Å³/f.u. The value obtained for the energy of formation is -0.0584 eV/atom. The density is 2.937 g/cm3.



[4]
Density functional theory data (meta-GGA SCAN) for Mg3Zn at its PBEsol-relaxed geometry.

Unit cell a=4.2837 b=4.2837 c=4.2837 alpha=90.00 beta=90.00 gamma=90.00
Positions (direct):
Mg  0.0000  0.0000  0.5000
Mg  0.0000  0.5000  0.0000
Mg  0.5000  0.0000  0.0000
Zn  0.5000  0.5000  0.5000

Its density of states at the Fermi level is 0.406 states/eV per atom. For the volume, the calculation gives 79 Å³/f.u. The value obtained for the energy of formation is -0.0421 eV/atom. The density is 2.922 g/cm3.



[5]
Density functional theory data (meta-GGA SCAN) for Mg3Zn2 at its PBEsol-relaxed geometry.

Unit cell a=4.5458 b=4.5458 c=5.4583 alpha=90.00 beta=90.00 gamma=120.00
Positions (direct):
Mg  0.0000  0.0000  0.0000
Mg  0.3333  0.6667  0.3547
Mg  0.6667  0.3333  0.6453
Zn  0.3333  0.6667  0.8586
Zn  0.6667  0.3333  0.1414

Its density of states at the Fermi level is 0.210 states/eV per atom. For the volume, the calculation gives 98 Å³/f.u. The energy above the most stable polymorph in this dataset is 0.0 meV per atom. The value obtained for the energy of formation is -0.1001 eV/atom. The density is 3.463 g/cm3.



[6]
Density functional theory data (meta-GGA SCAN) for Mg3Zn at its PBEsol-relaxed geometry.

Unit cell a=5.3115 b=5.3115 c=5.3115 alpha=132.75 beta=132.75 gamma=69.04
Positions (direct):
Mg  0.0000  0.0000  0.0000
Mg  0.2500  0.7500  0.5000
Mg  0.7500  0.2500  0.5000
Zn  0.5000  0.5000  0.0000

Its density of states at the Fermi level is 0.318 states/eV per atom. For the volume, the calculation gives 79 Å³/f.u. The value obtained for the energy of formation is -0.0325 eV/atom. The density is 2.897 g/cm3.



[7]
Density functional theory data (meta-GGA SCAN) for MgZn2 at its PBEsol-relaxed geometry.

Unit cell a=7.3019 b=7.3019 c=4.5989 alpha=90.00 beta=90.00 gamma=156.84
Positions (direct):
Mg  0.1086  0.8914  0.7500
Mg  0.8914  0.1086  0.2500
Zn  0.2202  0.7798  0.2500
Zn  0.4419  0.5581  0.7500
Zn  0.5581  0.4419  0.2500
Zn  0.7798  0.2202  0.7500

Its density of states at the Fermi level is 0.250 states/eV per atom. For the volume, the calculation gives 48 Å³/f.u. The value obtained for the energy of formation is -0.0741 eV/atom. The density is 5.342 g/cm3.



[8]
Density functional theory data (meta-GGA SCAN) for MgZn2 at its PBEsol-relaxed geometry.

Unit cell a=2.9546 b=2.9546 c=13.0807 alpha=90.00 beta=90.00 gamma=120.00
Positions (direct):
Mg  0.0000  0.0000  0.1732
Mg  0.0000  0.0000  0.8268
Zn  0.0000  0.0000  0.5000
Zn  0.3333  0.6667  0.0000
Zn  0.3333  0.6667  0.3463
Zn  0.3333  0.6667  0.6537

Its density of states at the Fermi level is 0.211 states/eV per atom. For the volume, the calculation gives 49 Å³/f.u. The value obtained for the energy of formation is 0.0096 eV/atom. The density is 5.210 g/cm3.



Copy entry 5 word for word.
Density functional theory data (meta-GGA SCAN) for Mg3Zn2 at its PBEsol-relaxed geometry.

Unit cell a=4.5458 b=4.5458 c=5.4583 alpha=90.00 beta=90.00 gamma=120.00
Positions (direct):
Mg  0.0000  0.0000  0.0000
Mg  0.3333  0.6667  0.3547
Mg  0.6667  0.3333  0.6453
Zn  0.3333  0.6667  0.8586
Zn  0.6667  0.3333  0.1414

Its density of states at the Fermi level is 0.210 states/eV per atom. For the volume, the calculation gives 98 Å³/f.u. The energy above the most stable polymorph in this dataset is 0.0 meV per atom. The value obtained for the energy of formation is -0.1001 eV/atom. The density is 3.463 g/cm3.